Record 1
Here is an optimized crystal structure of PrTm2Hf from the Alexandria database. Energies are from PBE.

## Properties
ρ = 9.3 g cm⁻³
offset from the most stable computed form = 277 meV per atom
N(E_F) = 5.683 states/eV/f.u.
ΔE_f = 0.39 eV/atom

Cell: 3.3432 3.3432 12.2144 Å, 82.13 82.13 60.00°
Closest atoms and distances in Å follow each position.
Atoms (fractional coordinates):
1 Pr 0.5000 0.5000 0.5000  6 Pr 3.34, 6 Tm 3.52
2 Tm 0.0852 0.0852 0.7443  1 Hf 3.08, 6 Tm 3.34
3 Tm 0.9148 0.9148 0.2557  1 Hf 3.08, 6 Tm 3.34
4 Hf 0.0000 0.0000 0.0000  2 Tm 3.08, 6 Hf 3.34

=====

Record 2
Here is an optimized crystal structure of PrTm2Hf from the Alexandria database. Energies are from PBE.

## Properties
ρ = 9.5 g cm⁻³
offset from the most stable computed form = 49 meV per atom
N(E_F) = 5.722 states/eV/f.u.
ΔE_f = 0.16 eV/atom

Cell: 4.8748 4.8548 4.8548 Å, 90.00 90.00 90.00°
Closest atoms and distances in Å follow each position.
Atoms (fractional coordinates):
1 Pr 0.5000 0.5000 0.5000  4 Hf 3.43, 8 Tm 3.44
2 Tm 0.0000 0.0000 0.5000  4 Tm 3.43, 4 Hf 3.44, 4 Pr 3.44
3 Tm 0.0000 0.5000 0.0000  4 Tm 3.43, 4 Hf 3.44, 4 Pr 3.44
4 Hf 0.5000 0.0000 0.0000  4 Pr 3.43, 8 Tm 3.44

=====

Record 3
Here is an optimized crystal structure of PrYHf from the Alexandria database. Energies are from PBE.

## Properties
ρ = 7.7 g cm⁻³
offset from the most stable computed form = 46 meV per atom
N(E_F) = 4.649 states/eV/f.u.
ΔE_f = 0.16 eV/atom

Cell: 3.3902 3.3902 8.0674 Å, 102.13 102.13 90.00°
Closest atoms and distances in Å follow each position.
Atoms (fractional coordinates):
1 Pr 0.3224 0.3224 0.6449  4 Pr 3.39, 4 Hf 3.44
2 Y 0.0151 0.0151 0.0301  4 Hf 3.30, 4 Y 3.39
3 Hf 0.6625 0.6625 0.3250  4 Y 3.30, 4 Hf 3.39, 4 Pr 3.44

=====

Record 4
Here is an optimized crystal structure of PrYHf from the Alexandria database. Energies are from PBE.

## Properties
ρ = 7.4 g cm⁻³
offset from the most stable computed form = 0 meV per atom
N(E_F) = 4.456 states/eV/f.u.
ΔE_f = 0.11 eV/atom

Cell: 3.7708 3.7708 12.9428 Å, 90.00 90.00 90.00°
Closest atoms and distances in Å follow each position.
Atoms (fractional coordinates):
1 Pr 0.0000 0.5000 0.5974  8 Pr 3.67-3.77, 4 Y 3.73
2 Pr 0.5000 0.0000 0.4026  8 Pr 3.67-3.77, 4 Y 3.73
3 Y 0.5000 0.0000 0.7993  5 Hf 3.24-3.30
4 Y 0.0000 0.5000 0.2007  5 Hf 3.24-3.30
5 Hf 0.0000 0.5000 0.9500  4 Hf 2.96, 5 Y 3.24-3.30
6 Hf 0.5000 0.0000 0.0500  4 Hf 2.96, 5 Y 3.24-3.30

=====

Record 5
Here is an optimized crystal structure of PrYHf from the Alexandria database. Energies are from PBE.

## Properties
ρ = 7.7 g cm⁻³
offset from the most stable computed form = 65 meV per atom
N(E_F) = 3.658 states/eV/f.u.
ΔE_f = 0.18 eV/atom

Cell: 3.4422 3.4422 8.5631 Å, 90.00 90.00 120.00°
Closest atoms and distances in Å follow each position.
Atoms (fractional coordinates):
1 Pr 0.0000 0.0000 0.0214  3 Hf 3.35, 6 Pr 3.44
2 Y 0.3333 0.6667 0.6420  3 Hf 3.29, 6 Y 3.44
3 Hf 0.6667 0.3333 0.3365  3 Y 3.29, 3 Pr 3.35, 6 Hf 3.44

=====

Record 6
Here is an optimized crystal structure of PrHfZn4 from the Alexandria database. Energies are from PBE.

## Properties
ρ = 8.6 g cm⁻³
N(E_F) = 5.022 states/eV/f.u.
ΔE_f = -0.17 eV/atom

Cell: 5.4071 5.4071 5.4071 Å, 60.00 60.00 60.00°
Closest atoms and distances in Å follow each position.
Atoms (fractional coordinates):
1 Pr 0.2500 0.2500 0.2500  12 Zn 3.17, 4 Hf 3.31
2 Zn 0.6263 0.6263 0.1210  6 Zn 2.67-2.73
3 Zn 0.6263 0.1210 0.6263  6 Zn 2.67-2.73
4 Zn 0.6263 0.6263 0.6263  6 Zn 2.67-2.73
5 Zn 0.1210 0.6263 0.6263  6 Zn 2.67-2.73
6 Hf 0.0000 0.0000 0.0000  12 Zn 3.17, 4 Pr 3.31

=====

Record 7
Here is an optimized crystal structure of PrHfZn2 from the Alexandria database. Energies are from PBE.

## Properties
ρ = 8.7 g cm⁻³
offset from the most stable computed form = 95 meV per atom
N(E_F) = 5.493 states/eV/f.u.
ΔE_f = -0.10 eV/atom

Cell: 4.9614 4.9614 4.9614 Å, 60.00 60.00 60.00°
Closest atoms and distances in Å follow each position.
Atoms (fractional coordinates):
1 Pr 0.0000 0.0000 0.0000  8 Zn 3.04
2 Zn 0.2500 0.2500 0.2500  4 Hf 3.04, 4 Pr 3.04
3 Zn 0.7500 0.7500 0.7500  4 Hf 3.04, 4 Pr 3.04
4 Hf 0.5000 0.5000 0.5000  8 Zn 3.04

=====

Record 8
Here is an optimized crystal structure of PrHfZn2 from the Alexandria database. Energies are from PBE.

## Properties
ρ = 8.7 g cm⁻³
offset from the most stable computed form = 0 meV per atom
N(E_F) = 3.673 states/eV/f.u.
ΔE_f = -0.20 eV/atom

Cell: 3.4646 3.4646 7.1427 Å, 90.00 90.00 90.00°
Closest atoms and distances in Å follow each position.
Atoms (fractional coordinates):
1 Pr 0.5000 0.5000 0.5000  8 Zn 3.23, 4 Pr 3.46, 2 Hf 3.57
2 Zn 0.0000 0.0000 0.7939  4 Hf 2.86, 1 Zn 2.94
3 Zn 0.0000 0.0000 0.2061  4 Hf 2.86, 1 Zn 2.94
4 Hf 0.5000 0.5000 0.0000  8 Zn 2.86